{
  "formula": "Pm2BPd6Pt",
  "functional": "GGA-PBE",
  "state": "relaxed",
  "dos_at_fermi_per_ev_fu": 4.6,
  "total_energy_ry_per_atom": -0.438,
  "total_magnetization_mub_per_cell": 0.00,
  "lattice_angstrom": [[5.662, 0.000, 0.000], [2.831, 4.903, 0.000], [2.831, 1.634, 13.308]],
  "species": ["Pm", "Pm", "Pm", "Pm", "B", "B", "Pd", "Pd", "Pd", "Pd", "Pd", "Pd", "Pd", "Pd", "Pd", "Pd", "Pd", "Pd", "Pt", "Pt"],
  "frac_coords": [[0.893, 0.893, 0.320], [0.107, 0.107, 0.680], [0.726, 0.726, 0.823], [0.274, 0.274, 0.177], [0.000, 0.000, 0.000], [0.500, 0.500, 0.500], [0.881, 0.354, 0.411], [0.354, 0.881, 0.411], [0.354, 0.354, 0.411], [0.119, 0.646, 0.589], [0.646, 0.119, 0.589], [0.646, 0.646, 0.589], [0.687, 0.202, 0.910], [0.202, 0.687, 0.910], [0.202, 0.202, 0.910], [0.313, 0.798, 0.090], [0.798, 0.313, 0.090], [0.798, 0.798, 0.090], [0.582, 0.582, 0.254], [0.418, 0.418, 0.746]]
}